A plane-wave DFT calculation with PBE+U was carried out for a geometry-optimized NbV3Fe2P6O24 structure.

The structure in extended XYZ format:
```
36
Lattice="4.3654 2.5204 6.9915 -4.3654 2.5204 6.9915 0.0000 -5.0407 6.9915" Properties=species:S:1:pos:R:3 pbc="T T T"
Nb 0.0000 0.0000 0.0000
V 0.0000 0.0000 6.0105
V 0.0000 0.0000 10.5258
V 0.0000 0.0000 16.4479
Fe 0.0000 0.0000 3.0684
Fe 0.0000 0.0000 13.5072
P -2.5339 -0.0259 8.2548
P -1.7736 -2.5199 11.6872
P 1.2894 -2.1815 8.2548
P -1.2955 2.7960 11.6873
P 1.2445 2.2074 8.2548
P 3.0692 -0.2760 11.6872
O -2.6485 -2.4808 10.4564
O -0.6642 -1.3842 4.6028
O -3.5041 1.2430 8.3703
O -2.7161 -2.5994 12.9579
O -1.7014 0.0673 6.9842
O -0.8667 1.2674 4.6028
O 0.6756 -3.6561 8.3703
O -1.7192 -0.0046 9.5349
O 0.7924 -1.5071 6.9842
O -0.9118 -1.2599 11.9332
O 1.5309 0.1169 4.6028
O 0.8636 -1.4866 9.5349
O 0.9090 1.4398 6.9842
O -1.5416 0.1361 15.0837
O -0.6352 1.4196 11.9332
O -0.8242 3.5341 10.4564
O 0.8556 1.4912 9.5349
O 0.6529 -1.4031 15.0837
O 1.5470 -0.1597 11.9332
O -0.8931 3.6519 12.9579
O 3.4727 -1.0533 10.4564
O 2.8285 2.4131 8.3702
O 0.8887 1.2670 15.0838
O 3.6092 -1.0525 12.9579
```

Values from the calculation:
The size of the total moment is 14.0 Bohr magnetons per cell. The theoretical density is 3.34 Mg/m³. Its calculated total energy is -7.57 eV per atom. The density of states at the Fermi level comes out at 13.18 states/eV/cell.